(1)
Density functional theory data (SCAN) for Cs2NaCoC6N6 at its PBEsol-relaxed geometry.

Cell lengths 7.3932, 7.6952, 12.9635 Å; angles 90.00, 124.62, 90.00 degrees
Closest atoms and distances in Å follow each position.
Space group P2_1/c (No. 14)
Asymmetric unit:
Cs: 0.2342 0.0568 0.2501 x4  5 N 3.21-3.55, 3 C 3.47-3.58
Na: 0.0000 0.0000 0.5000 x2  6 N 2.46-2.51
Co: 0.5000 0.0000 0.0000 x2  6 C 1.85
C: 0.2742 0.1374 0.9768 x4  1 N 1.18
C: 0.3349 0.6975 0.4720 x4  1 N 1.18
C: 0.3812 0.0110 0.8305 x4  1 N 1.17
N: 0.1301 0.2246 0.9612 x4  1 C 1.18
N: 0.2293 0.6772 0.9531 x4  1 C 1.18
N: 0.3059 0.0201 0.7228 x4  1 C 1.17

Computed properties:
**E_form (uncorrected)**: -0.2533 eV/atom

=====

(2)
Density functional theory data (SCAN) for Sc2MnAu at its PBEsol-relaxed geometry.

Cell lengths 3.5285, 3.5285, 5.9982 Å; angles 90.00, 90.00, 90.00 degrees
Closest atoms and distances in Å follow each position.
Space group P4mm (No. 99)
Asymmetric unit:
Sc: 0.0000 0.0000 0.0000 x1  4 Mn 2.74, 1 Au 2.78
Sc: 0.5000 0.5000 0.3282 x1  4 Au 2.79, 2 Mn 2.89-3.11
Mn: 0.5000 0.5000 0.8098 x1  5 Sc 2.74-2.89, 4 Au 2.98
Au: 0.0000 0.0000 0.5368 x1  5 Sc 2.78-2.79, 4 Mn 2.98

Computed properties:
**Energy of formation from the pure elements**: -0.465 eV per atom

=====

(3)
Density functional theory data (SCAN) for TaCuW3 at its PBEsol-relaxed geometry.

Cell lengths 4.7098, 4.7098, 4.7098 Å; angles 90.00, 90.00, 90.00 degrees
Closest atoms and distances in Å follow each position.
Space group Pm-3m (No. 221)
Asymmetric unit:
Ta: 0.0000 0.0000 0.0000 x1  6 W 2.35
Cu: 0.5000 0.5000 0.5000 x1  12 W 3.33
W: 0.0000 0.0000 0.5000 x3  2 Ta 2.35

Computed properties:
**Energy of formation from the pure elements**: 2.595 eV per atom

=====

| no. | total magnetic moment (μB/f.u.) |
| --- | --- |
| 1 | 0.15 |
| 2 | 3.06 |
| 3 | 0.00 |